Entry 1:
Below is crystalline LaScTc at its relaxed geometry, with properties calculated at the PBE level.

Calculated total energy (eV/atom): -7.23
ΔE to the lowest computed polymorph (meV/atom): 0.0
Energy of formation from the pure elements (eV/atom): -0.02

Cell lengths 19.566, 4.667, 7.076 Å; angles 90.00, 93.58, 90.00 degrees
Space group C2/m (No. 12)
Unique sites:
La  0.069  0.000  0.304 [4 per cell]
La  0.095  0.500  0.830 [4 per cell]
Sc  0.212  0.000  0.611 [4 per cell]
Sc  0.228  0.000  0.125 [4 per cell]
Tc  0.150  0.500  0.510 [4 per cell]
Tc  0.159  0.500  0.165 [4 per cell]


Entry 2:
Below is crystalline LaSc3Tc at its relaxed geometry, with properties calculated at the PBE level.

Calculated total energy (eV/atom): -5.33
ΔE to the lowest computed polymorph (meV/atom): 1536.0
Energy of formation from the pure elements (eV/atom): 1.52

Cell lengths 5.007, 5.007, 5.007 Å; angles 90.00, 90.00, 90.00 degrees
Space group Pm-3m (No. 221)
Unique sites:
La  0.000  0.000  0.000 [1 per cell]
Sc  0.000  0.000  0.500 [3 per cell]
Tc  0.500  0.500  0.500 [1 per cell]


Entry 3:
Below is crystalline LaSc2Tc at its relaxed geometry, with properties calculated at the PBE level.

Calculated total energy (eV/atom): -6.84
ΔE to the lowest computed polymorph (meV/atom): 241.4
Energy of formation from the pure elements (eV/atom): 0.15

Cell lengths 7.035, 7.035, 7.035 Å; angles 90.00, 90.00, 90.00 degrees
Space group Fm-3m (No. 225)
Unique sites:
La  0.000  0.000  0.000 [4 per cell]
Sc  0.250  0.250  0.250 [8 per cell]
Tc  0.000  0.000  0.500 [4 per cell]


Entry 4:
Below is crystalline LaScTc2 at its relaxed geometry, with properties calculated at the PBE level.

Calculated total energy (eV/atom): -7.73
ΔE to the lowest computed polymorph (meV/atom): 255.3
Energy of formation from the pure elements (eV/atom): 0.27

Cell lengths 6.186, 8.876, 3.053 Å; angles 90.00, 114.77, 90.00 degrees
Space group C2/m (No. 12)
Unique sites:
La  0.000  0.000  0.000 [2 per cell]
Sc  0.000  0.500  0.000 [2 per cell]
Tc  0.250  0.250  0.500 [4 per cell]